Nd2ThPd | PBE | optimized geometry

Output
The value obtained for the energy above the lowest structure with this stoichiometry is 318 meV per atom. The calculation puts the calculated formation energy at -0.0076 eV/atom.

Unit cell a=3.6002 b=3.6002 c=33.0994 alpha=90.00 beta=90.00 gamma=120.00
Space group R-3m (No. 166, hexagonal axes)
Asymmetric unit:
Nd  0.0000  0.0000  0.1045 x6
Th  0.0000  0.0000  0.0000 x3
Pd  0.0000  0.0000  0.5000 x3


Ac4Te5O | PBE | optimized geometry

Output
Its total DFT energy (no corrections) is -5.337 eV per atom.

Unit cell a=22.486 b=4.291 c=8.545 alpha=90.00 beta=112.18 gamma=90.00
Space group C2/m (No. 12)
Asymmetric unit:
Ac  0.000  0.000  0.208 x4
Ac  0.219  0.500  0.219 x4
Te  0.000  0.500  0.500 x2
Te  0.158  0.000  0.410 x4
Te  0.158  0.000  0.907 x4
O  0.000  0.500  0.000 x2


UBe2CuH8 | PBE | optimized geometry

Output
Its total DFT energy (no corrections) is -4.153 eV per atom.

Unit cell a=4.4409 b=4.4409 c=6.3167 alpha=90.00 beta=90.00 gamma=120.00
Space group P-3m1 (No. 164)
Asymmetric unit:
U  0.0000  0.0000  0.0000 x1
Be  0.3333  0.6667  0.2317 x2
Cu  0.0000  0.0000  0.5000 x1
H  0.1567  0.3134  0.2995 x6
H  0.3333  0.6667  0.9942 x2


CrGa4Ru5 | PBE | optimized geometry

Output
The calculation puts the calculated formation energy at -0.2468 eV/atom.

Unit cell a=3.011 b=3.011 c=15.165 alpha=90.00 beta=90.00 gamma=90.00
Space group P4/mmm (No. 123)
Asymmetric unit:
Cr  0.000  0.000  0.000 x1
Ga  0.000  0.000  0.199 x2
Ga  0.000  0.000  0.399 x2
Ru  0.500  0.500  0.097 x2
Ru  0.500  0.500  0.298 x2
Ru  0.500  0.500  0.500 x1


Tm2Th3Sc4 | PBE | optimized geometry

Output
The value obtained for the energy above the lowest structure with this stoichiometry is 0 meV per atom. The calculation puts the calculated formation energy at 0.0994 eV/atom.

Unit cell a=3.4372 b=3.4372 c=25.2345 alpha=90.00 beta=90.00 gamma=120.00
Space group P3m1 (No. 156)
Asymmetric unit:
Tm  0.0000  0.0000  0.0000 x1
Tm  0.0000  0.0000  0.2308 x1
Th  0.0000  0.0000  0.7843 x1
Th  0.3333  0.6667  0.1185 x1
Th  0.3333  0.6667  0.4621 x1
Sc  0.0000  0.0000  0.3549 x1
Sc  0.0000  0.0000  0.5740 x1
Sc  0.3333  0.6667  0.6737 x1
Sc  0.3333  0.6667  0.8944 x1


PaZnAg2 | PBE | optimized geometry

Output
The value obtained for the energy above the lowest structure with this stoichiometry is 0 meV per atom. The calculation puts the calculated formation energy at 0.0717 eV/atom.

Unit cell a=3.007 b=3.007 c=8.422 alpha=90.00 beta=90.00 gamma=90.00
Space group P4/mmm (No. 123)
Asymmetric unit:
Pa  0.000  0.000  0.000 x1
Zn  0.000  0.000  0.500 x1
Ag  0.500  0.500  0.291 x2


Sequential M_tot output: 0.00 0.00 3.00 1.17 0.00 0.42 μB per formula unit